Entry 1:
This record from Alexandria describes a geometry-optimized Ho2BeGa structure. The functional is PBE-GGA.

Cell lengths 6.9551, 6.9551, 6.9551 Å; angles 90.00, 90.00, 90.00 degrees
With the nearest neighbours (Å) after each atom.
Space group Fm-3m (No. 225)
Inequivalent atoms, fractional coordinates:
1 Ho 0.2500 0.2500 0.2500  4 Ga 3.01, 4 Be 3.01
2 Be 0.0000 0.0000 0.0000  8 Ho 3.01
3 Ga 0.0000 0.0000 0.5000  8 Ho 3.01

Computed properties:
Energy of formation   -0.246 eV per atom


Entry 2:
This record from Alexandria describes a geometry-optimized PrSc4 structure. The functional is PBE-GGA.

Cell lengths 5.2246, 5.2246, 5.2246 Å; angles 90.00, 90.00, 90.00 degrees
With the nearest neighbours (Å) after each atom.
Space group Pm-3m (No. 221)
Inequivalent atoms, fractional coordinates:
1 Pr 0.0000 0.0000 0.0000  6 Sc 2.61
2 Sc 0.0000 0.0000 0.5000  2 Pr 2.61
3 Sc 0.5000 0.5000 0.5000  12 Sc 3.69

Computed properties:
Energy of formation   0.803 eV per atom


Entry 3:
This record from Alexandria describes a geometry-optimized Cr5Ir4 structure. The functional is PBE-GGA.

Cell lengths 7.9402, 7.9402, 3.7346 Å; angles 90.00, 90.00, 90.00 degrees
With the nearest neighbours (Å) after each atom.
Space group I4/mmm (No. 139)
Inequivalent atoms, fractional coordinates:
1 Cr 0.0000 0.0000 0.0000  4 Ir 2.54, 8 Cr 2.65
2 Cr 0.1669 0.1669 0.5000  6 Ir 2.59-2.65, 6 Cr 2.64-2.65
3 Ir 0.0000 0.3205 0.0000  7 Cr 2.54-2.65, 4 Ir 2.75

Computed properties:
Energy of formation   -0.074 eV per atom


Entry 4:
This record from Alexandria describes a geometry-optimized KRbLiCd2 structure. The functional is PBE-GGA.

Cell lengths 5.5866, 5.5866, 6.1103 Å; angles 90.00, 90.00, 90.00 degrees
With the nearest neighbours (Å) after each atom.
Space group P4/mmm (No. 123)
Inequivalent atoms, fractional coordinates:
1 K 0.0000 0.0000 0.0000  4 Rb 3.95, 8 Cd 4.14
2 Rb 0.5000 0.5000 0.0000  2 Li 3.06
3 Li 0.5000 0.5000 0.5000  4 Cd 2.79, 2 Rb 3.06
4 Cd 0.0000 0.5000 0.5000  2 Li 2.79

Computed properties:
Energy of formation   0.087 eV per atom


Entry 5:
This record from Alexandria describes a geometry-optimized CaSmGd structure. The functional is PBE-GGA.

Cell lengths 3.6876, 3.6876, 15.6426 Å; angles 90.00, 90.00, 90.00 degrees
With the nearest neighbours (Å) after each atom.
Space group I4mm (No. 107)
Inequivalent atoms, fractional coordinates:
1 Ca 0.0000 0.0000 0.0000  4 Ca 3.69, 4 Sm 3.78, 4 Gd 3.80
2 Sm 0.0000 0.0000 0.6750  4 Gd 3.49, 4 Sm 3.69, 4 Ca 3.78
3 Gd 0.0000 0.0000 0.3236  4 Sm 3.49, 4 Gd 3.69, 4 Ca 3.80

Computed properties:
Energy of formation   0.046 eV per atom


Entry 6:
This record from Alexandria describes a geometry-optimized KPaTiS4 structure. The functional is PBE-GGA.

Cell lengths 7.7608, 8.7168, 10.6070 Å; angles 90.00, 90.00, 90.00 degrees
With the nearest neighbours (Å) after each atom.
Space group Imma (No. 74)
Inequivalent atoms, fractional coordinates:
1 K 0.0000 0.2500 0.1658  4 S 2.87-2.90
2 Pa 0.0000 0.0000 0.5000  6 S 2.69-2.74
3 Ti 0.2500 0.2500 0.7500  6 S 2.54-2.56
4 S 0.0000 0.0625 0.7482  2 Ti 2.54, 1 Pa 2.69
5 S 0.2141 0.2500 0.5102  1 Ti 2.56, 2 Pa 2.74

Computed properties:
Uncorrected formation energy   -1.39 eV/atom


no.,D(E_F) (states/eV/f.u.),calculated total energy (eV for the cell shown)
1,3.057,-67.6
2,6.140,-26.1
3,11.834,-168.5
4,3.110,-5.4
5,4.174,-41.3
6,5.576,-178.8